Material: RbCrAsBr2
Method: DFT, PBE
State: optimized geometry

**Formation energy without anion corrections**: -591 meV/atom

Cell: 5.5074 5.5074 4.7897 Å, 90.00 90.00 90.00°
Space group P4/mmm (No. 123)
Inequivalent atoms, fractional coordinates:
Rb 0.0000 0.0000 0.0000 (multiplicity 1)
Cr 0.5000 0.5000 0.5000 (multiplicity 1)
As 0.5000 0.5000 0.0000 (multiplicity 1)
Br 0.0000 0.5000 0.5000 (multiplicity 2)

---

Material: CrReAsBr2
Method: DFT, PBE
State: optimized geometry

**Relative energy among the computed polymorphs**: 0.000 eV/atom
**Formation energy without anion corrections**: 851 meV/atom

Cell: 5.2762 5.2762 4.7503 Å, 90.00 90.00 90.00°
Space group P4/mmm (No. 123)
Inequivalent atoms, fractional coordinates:
Cr 0.0000 0.0000 0.0000 (multiplicity 1)
Re 0.5000 0.5000 0.5000 (multiplicity 1)
As 0.5000 0.5000 0.0000 (multiplicity 1)
Br 0.0000 0.5000 0.5000 (multiplicity 2)

---

Material: CrAsRhBr2
Method: DFT, PBE
State: optimized geometry

**Relative energy among the computed polymorphs**: 0.000 eV/atom
**Formation energy without anion corrections**: 844 meV/atom

Cell: 4.9262 4.9262 4.6274 Å, 90.00 90.00 90.00°
Space group P4/mmm (No. 123)
Inequivalent atoms, fractional coordinates:
Cr 0.0000 0.0000 0.0000 (multiplicity 1)
As 0.0000 0.0000 0.5000 (multiplicity 1)
Rh 0.5000 0.5000 0.5000 (multiplicity 1)
Br 0.0000 0.5000 0.0000 (multiplicity 2)

---

Material: CrAsRuBr2
Method: DFT, PBE
State: optimized geometry

**Relative energy among the computed polymorphs**: 0.000 eV/atom
**Formation energy without anion corrections**: 567 meV/atom

Cell: 5.2440 5.2440 4.6229 Å, 90.00 90.00 90.00°
Space group P4/mmm (No. 123)
Inequivalent atoms, fractional coordinates:
Cr 0.0000 0.0000 0.0000 (multiplicity 1)
As 0.5000 0.5000 0.0000 (multiplicity 1)
Ru 0.5000 0.5000 0.5000 (multiplicity 1)
Br 0.0000 0.5000 0.5000 (multiplicity 2)

---

Material: CrAs2RuBr
Method: DFT, PBE
State: optimized geometry

**Relative energy among the computed polymorphs**: 0.000 eV/atom
**Formation energy without anion corrections**: 632 meV/atom

Cell: 4.6964 4.6964 5.4352 Å, 90.00 90.00 90.00°
Space group P4/mmm (No. 123)
Inequivalent atoms, fractional coordinates:
Cr 0.0000 0.0000 0.0000 (multiplicity 1)
As 0.0000 0.5000 0.5000 (multiplicity 2)
Ru 0.5000 0.5000 0.5000 (multiplicity 1)
Br 0.5000 0.5000 0.0000 (multiplicity 1)

---

Material: CrAsRuBr2
Method: DFT, PBE
State: optimized geometry

**Relative energy among the computed polymorphs**: 0.476 eV/atom
**Formation energy without anion corrections**: 1043 meV/atom

Cell: 5.0054 5.0054 4.6607 Å, 90.00 90.00 90.00°
Space group P4/mmm (No. 123)
Inequivalent atoms, fractional coordinates:
Cr 0.0000 0.0000 0.0000 (multiplicity 1)
As 0.0000 0.0000 0.5000 (multiplicity 1)
Ru 0.5000 0.5000 0.5000 (multiplicity 1)
Br 0.0000 0.5000 0.0000 (multiplicity 2)